Record 1
CsTmAgI5 | the Alexandria database | GGA-PBE | optimized geometry; ΔE_f (raw) = -1.127 eV per atom; space-group type = C2/c
1.0
-1.811 -7.881 -2.875
5.106 -0.960 6.831
-9.933 3.266 4.749
Cs Tm Ag I
2 2 2 10
Cartesian
0.200 -2.567 4.619 Cs
-6.839 -3.008 4.086 Cs
-4.967 1.633 2.375 Tm
0.000 0.000 0.000 Tm
-2.150 -4.919 1.322 Ag
-4.489 -0.656 7.384 Ag
2.153 -0.612 7.361 I
-8.792 -4.962 1.345 I
-1.007 -7.121 -0.081 I
-5.632 1.547 8.787 I
-4.819 -4.243 0.583 I
-1.820 -1.332 8.123 I
-2.526 -5.262 4.191 I
-4.113 -0.313 4.515 I
-0.108 -2.908 0.790 I
-6.530 -2.667 7.916 I

=====

Record 2
Cs2TmAg2I6 | the Alexandria database | GGA-PBE | optimized geometry; ΔE_f (raw) = -0.950 eV per atom; space-group type = R-3m
1.0
-5.264 0.690 7.367
0.680 -6.139 6.658
3.663 2.358 7.993
Cs Tm Ag I
2 1 2 6
Cartesian
-0.979 -2.550 16.330 Cs
0.058 -0.541 5.689 Cs
0.000 0.000 0.000 Tm
0.498 -0.774 11.622 Ag
-1.420 -2.316 10.396 Ag
-2.611 -3.593 12.704 I
0.248 -3.968 8.703 I
-2.980 -0.260 9.088 I
2.059 -2.831 12.930 I
-1.169 0.877 13.316 I
1.690 0.503 9.314 I

=====

Record 3
CsTm2AgI8 | the Alexandria database | GGA-PBE | optimized geometry; ΔE_f (raw) = -1.103 eV per atom; space-group type = R-3
1.0
7.809 0.000 0.000
3.905 6.763 0.000
3.905 2.254 11.041
Cs Tm Ag I
1 2 1 8
Cartesian
7.809 4.509 5.521 Cs
3.905 2.254 2.527 Tm
11.714 6.763 8.515 Tm
0.000 0.000 0.000 Ag
3.905 2.254 5.356 I
6.674 2.242 1.818 I
11.714 6.763 5.686 I
10.340 4.659 1.818 I
5.279 4.358 9.224 I
6.414 6.625 1.818 I
9.204 2.392 9.224 I
8.944 6.775 9.224 I

=====

Record 4
CsUAgI6 | the Alexandria database | GGA-PBE | optimized geometry; ΔE_f (raw) = -0.845 eV per atom; space-group type = P-31c
1.0
7.840 0.000 0.000
-3.920 6.789 0.000
0.000 0.000 17.666
Cs U Ag I
2 2 2 12
Cartesian
0.000 0.000 0.000 Cs
0.000 0.000 8.833 Cs
0.000 4.526 4.416 U
3.920 2.263 13.249 U
3.920 2.263 4.416 Ag
0.000 4.526 13.249 Ag
2.457 4.339 2.654 I
-1.391 2.492 2.654 I
2.854 0.041 11.487 I
5.311 4.297 15.011 I
1.391 2.492 6.179 I
-2.457 4.339 6.179 I
4.986 0.041 15.011 I
1.066 6.748 6.179 I
6.377 2.451 11.487 I
-1.066 6.748 2.654 I
2.529 4.297 11.487 I
1.462 2.451 15.011 I

=====

Record 5
Cs2UAgI6 | the Alexandria database | GGA-PBE | optimized geometry; ΔE_f (raw) = -1.001 eV per atom; space-group type = P-3m1
1.0
7.171 0.000 0.000
0.000 8.630 0.000
0.000 -4.315 7.474
Cs U Ag I
2 1 1 6
Cartesian
1.811 0.000 4.983 Cs
5.359 4.315 2.491 Cs
3.585 0.000 0.000 U
0.000 0.000 0.000 Ag
5.389 0.000 2.541 I
5.389 -2.115 6.204 I
5.389 2.115 6.204 I
1.781 6.430 1.270 I
1.781 2.200 1.270 I
1.781 4.315 4.933 I

=====

Record 6
Cs3UAg2I9 | the Alexandria database | GGA-PBE | optimized geometry; ΔE_f (raw) = -0.951 eV per atom; space-group type = P-3m1
1.0
8.680 0.000 0.000
-4.340 7.517 0.000
0.000 0.000 10.620
Cs U Ag I
3 1 2 9
Cartesian
0.000 5.012 7.515 Cs
0.000 0.000 0.000 Cs
4.340 2.506 3.106 Cs
0.000 0.000 5.310 U
0.000 5.012 1.413 Ag
4.340 2.506 9.207 Ag
6.533 1.240 7.041 I
4.340 5.038 7.041 I
2.147 1.240 7.041 I
2.193 6.278 3.579 I
0.000 2.479 3.579 I
-2.193 6.278 3.579 I
4.340 0.000 0.000 I
-2.170 3.759 0.000 I
2.170 3.759 0.000 I

=====

Record 7
Cs2UAg2I6 | the Alexandria database | GGA-PBE | optimized geometry; ΔE_f (raw) = -0.770 eV per atom; space-group type = C2/m
1.0
-4.398 7.629 -0.797
-2.821 -6.194 5.321
7.888 4.844 2.839
Cs U Ag I
2 1 2 6
Cartesian
-2.905 3.678 2.186 Cs
3.574 2.601 5.176 Cs
1.745 6.236 1.021 U
-0.172 5.700 6.467 Ag
0.841 0.578 0.895 Ag
0.127 5.571 3.581 I
-1.604 -2.830 5.218 I
4.376 5.460 2.526 I
2.273 9.108 2.145 I
-3.707 0.819 4.836 I
0.542 0.708 3.781 I

=====

Record 8
CsUAg2I8 | the Alexandria database | GGA-PBE | optimized geometry; ΔE_f (raw) = -0.674 eV per atom; space-group type = C2/m
1.0
7.460 -0.411 0.144
3.077 6.809 0.144
0.720 0.437 11.222
Cs U Ag I
1 1 2 8
Cartesian
0.360 0.218 5.611 Cs
0.000 0.000 0.000 U
7.008 4.255 2.677 Ag
4.249 2.580 8.834 Ag
7.171 1.837 9.272 I
8.735 5.304 11.351 I
7.569 4.596 5.268 I
3.688 2.239 6.242 I
2.522 1.531 0.160 I
4.937 5.515 9.272 I
6.320 1.320 2.239 I
4.086 4.998 2.239 I

=====

Record 9
CsVAgI6 | the Alexandria database | GGA-PBE | optimized geometry; ΔE_f (raw) = -0.554 eV per atom; space-group type = P312
1.0
7.534 0.002 0.001
3.768 6.523 -0.001
0.002 -0.002 8.651
Cs V Ag I
1 1 1 6
Cartesian
7.535 0.000 8.652 Cs
3.769 2.175 4.325 V
7.535 4.348 4.326 Ag
1.530 2.315 2.734 I
2.771 0.165 5.917 I
6.006 2.315 5.917 I
2.527 4.040 5.917 I
5.009 4.041 2.734 I
4.764 0.166 2.734 I

=====

Record 10
Cs3VAg2I9 | the Alexandria database | GGA-PBE | optimized geometry; ΔE_f (raw) = -0.769 eV per atom; space-group type = P-3m1
1.0
-7.070 4.279 0.909
0.735 -5.558 -6.139
-3.645 -7.340 6.210
Cs V Ag I
3 1 2 9
Cartesian
-4.328 -7.236 0.404 Cs
0.000 0.000 0.000 Cs
-5.652 -1.383 0.576 Cs
-1.822 -3.670 3.105 V
-2.445 -3.443 -2.805 Ag
-7.535 -5.176 3.785 Ag
-8.219 -2.092 3.859 I
-7.834 -5.004 0.644 I
-4.516 -4.334 3.383 I
-5.463 -4.286 -2.403 I
-2.145 -3.616 0.336 I
-1.760 -6.527 -2.879 I
-3.535 2.140 0.454 I
0.368 -2.779 -3.069 I
-3.167 -0.640 -2.615 I

=====

Record 11
CsYAgI6 | the Alexandria database | GGA-PBE | optimized geometry; ΔE_f (raw) = -0.984 eV per atom; space-group type = P1
1.0
8.706 0.069 0.751
4.434 6.284 0.197
0.805 -0.241 8.263
Cs Y Ag I
1 1 1 6
Cartesian
4.591 5.531 0.337 Cs
9.110 4.043 4.938 Y
4.332 2.089 4.046 Ag
1.933 2.236 2.212 I
4.012 0.271 6.310 I
8.026 2.337 7.059 I
11.910 4.350 6.186 I
6.593 3.698 3.221 I
9.703 6.177 2.731 I

=====

Record 12
CsZn2AgI6 | the Alexandria database | GGA-PBE | optimized geometry; ΔE_f (raw) = -0.704 eV per atom; space-group type = C2/c
1.0
7.128 -0.512 -0.532
1.613 11.481 -0.852
1.613 -1.277 11.442
Cs Zn Ag I
2 4 2 12
Cartesian
3.395 9.878 0.436 Cs
6.959 -0.186 9.622 Cs
4.404 7.898 6.327 Zn
2.386 3.918 2.197 Zn
5.950 1.794 3.731 Zn
7.968 5.774 7.861 Zn
3.395 3.198 6.873 Ag
6.959 6.494 3.185 Ag
4.721 9.812 8.021 I
2.069 2.296 0.221 I
5.633 -0.120 2.037 I
8.285 7.396 9.837 I
5.241 8.535 3.917 I
1.549 6.350 1.649 I
5.113 1.157 6.141 I
8.805 3.342 8.409 I
8.885 6.765 5.542 I
5.033 4.148 2.826 I
1.469 2.927 4.516 I
5.321 5.544 7.232 I

=====

Record 13
CsZrAgI6 | the Alexandria database | GGA-PBE | optimized geometry; ΔE_f (raw) = -0.884 eV per atom; space-group type = P-31c
1.0
-7.683 -1.051 1.158
3.595 -3.605 -5.963
3.328 -13.280 10.034
Cs Zr Ag I
2 2 2 12
Cartesian
0.000 0.000 0.000 Cs
1.664 -6.640 5.017 Cs
-3.092 -5.222 1.293 Zr
2.331 -12.713 3.937 Zr
0.668 -6.073 -1.081 Ag
-1.428 -11.862 6.310 Ag
-2.147 -4.878 -1.417 I
-5.720 -4.359 0.455 I
2.868 -12.568 1.100 I
4.960 -13.576 4.775 I
-0.480 -6.371 1.758 I
-4.175 -7.884 0.981 I
1.639 -15.464 3.378 I
-3.629 -5.367 4.129 I
3.415 -10.051 4.249 I
-2.400 -2.472 1.852 I
-0.280 -11.564 3.472 I
1.386 -13.057 6.647 I

=====

Record 14
CsZrAg2I8 | the Alexandria database | GGA-PBE | optimized geometry; ΔE_f (raw) = -0.673 eV per atom; space-group type = P-1
1.0
7.629 -0.395 0.158
-0.339 6.642 1.270
0.197 1.971 10.479
Cs Zr Ag I
1 1 2 8
Cartesian
0.098 0.985 5.239 Cs
0.000 0.000 0.000 Zr
4.500 4.882 9.099 Ag
2.986 3.336 2.808 Ag
0.557 4.823 3.384 I
5.053 6.640 11.392 I
6.172 1.044 2.047 I
6.929 3.394 8.522 I
2.433 1.578 0.515 I
1.314 7.174 9.860 I
3.676 5.709 6.533 I
3.810 2.508 5.374 I

=====

Record 15
Cs12In5Ag3 | the Alexandria database | GGA-PBE | optimized geometry; formation energy = 24 kJ/mol of atoms; space-group type = Ia-3d
1.0
19.777 0.000 0.000
-6.592 18.645 0.000
-6.592 -9.323 16.147
Ag In Cs
12 20 48
Cartesian
11.536 5.827 2.018 Ag
11.536 12.819 2.018 Ag
-1.648 8.157 10.092 Ag
1.648 -1.165 6.055 Ag
14.832 0.000 4.037 Ag
1.648 9.323 4.037 Ag
4.944 0.000 12.111 Ag
-8.240 9.323 12.111 Ag
4.944 10.488 10.092 Ag
8.240 1.165 6.055 Ag
-4.944 -3.496 14.129 Ag
-4.944 3.496 14.129 Ag
-1.648 4.661 4.037 In
-3.296 9.323 0.000 In
0.000 0.000 0.000 In
4.944 3.496 2.018 In
6.592 -4.661 8.074 In
6.592 9.323 0.000 In
-4.944 10.488 6.055 In
8.240 -5.827 14.129 In
8.240 8.157 6.055 In
1.648 -4.661 12.111 In
4.944 13.984 4.037 In
3.296 4.661 8.074 In
9.888 0.000 0.000 In
-3.296 -4.661 8.074 In
-1.648 1.165 10.092 In
-1.648 15.149 2.018 In
-6.592 4.661 8.074 In
11.536 -1.165 10.092 In
1.648 5.827 14.129 In
8.240 4.661 12.111 In
13.195 1.850 0.876 Cs
-0.010 6.345 6.910 Cs
14.443 4.426 4.402 Cs
8.629 3.062 2.040 Cs
2.654 7.287 10.870 Cs
13.791 9.053 2.796 Cs
-1.259 10.686 6.442 Cs
-5.333 15.584 2.040 Cs
0.642 11.359 10.870 Cs
9.282 9.593 2.796 Cs
9.878 4.828 6.034 Cs
9.878 16.796 0.876 Cs
-5.950 8.395 8.950 Cs
3.903 7.036 1.632 Cs
-6.582 13.818 6.034 Cs
3.286 -2.978 9.238 Cs
-0.642 1.109 3.672 Cs
3.903 11.879 1.164 Cs
8.629 14.220 4.402 Cs
-0.607 6.766 1.164 Cs
-3.938 10.431 12.476 Cs
4.555 7.959 6.442 Cs
9.246 10.250 8.950 Cs
7.199 -2.286 14.516 Cs
2.037 1.364 9.705 Cs
-2.654 -0.927 7.198 Cs
-0.607 11.609 1.632 Cs
-2.037 -4.897 11.745 Cs
10.530 -1.109 3.672 Cs
7.199 2.556 14.983 Cs
2.689 -2.556 14.983 Cs
3.306 12.301 6.910 Cs
7.234 8.214 12.476 Cs
13.174 -4.495 10.114 Cs
12.542 0.927 7.198 Cs
-3.286 -7.473 15.272 Cs
2.689 2.286 14.516 Cs
5.950 -2.036 5.278 Cs
-2.689 -0.270 13.352 Cs
-3.286 4.495 10.114 Cs
11.925 -6.261 14.108 Cs
7.851 -1.364 9.705 Cs
-2.037 6.261 14.108 Cs
-7.199 0.270 13.352 Cs
3.938 2.036 5.278 Cs
-7.851 4.897 11.745 Cs
6.603 2.978 9.238 Cs
-6.603 7.473 15.272 Cs

=====

Record 16
CsIn6Ag8 | the Alexandria database | GGA-PBE | optimized geometry; formation energy = 7 kJ/mol of atoms; space-group type = R-3
1.0
7.013 -0.172 2.271
1.600 6.830 2.271
-0.223 -0.172 7.368
Cs In Ag
1 6 8
Cartesian
0.000 0.000 0.000 Cs
1.644 2.313 5.474 In
4.129 5.477 7.569 In
4.992 2.616 8.519 In
3.398 3.870 3.391 In
4.261 1.009 4.341 In
6.745 4.173 6.436 In
1.968 3.412 8.065 Ag
2.075 5.441 5.619 Ag
3.342 0.637 7.342 Ag
6.564 5.074 9.318 Ag
1.826 1.412 2.592 Ag
5.048 5.848 4.568 Ag
6.315 1.045 6.292 Ag
6.422 3.073 3.845 Ag